[1]
DFT (PBE) results for a geometry-optimized Tm2CuPbS4 structure.

Cell: 3.8501 6.7976 13.6600 Å, 90.00 90.00 106.45°
With the nearest neighbours (Å) after each atom.
Atoms (fractional coordinates):
Tm (0.3699, 0.7398, 0.5620)  6 S 2.70-2.75
Tm (0.6301, 0.2602, 0.0620)  6 S 2.70-2.75
Tm (0.6301, 0.2602, 0.4380)  6 S 2.70-2.75
Tm (0.3699, 0.7398, 0.9380)  6 S 2.70-2.75
Cu (0.8368, 0.6736, 0.7500)  4 S 2.34-2.36
Cu (0.1632, 0.3264, 0.2500)  4 S 2.34-2.36
Pb (0.1210, 0.2420, 0.7500)  6 S 3.03-3.04
Pb (0.8790, 0.7580, 0.2500)  6 S 3.03-3.04
S (0.2709, 0.5419, 0.1126)  1 Cu 2.34
S (0.7291, 0.4581, 0.6126)  1 Cu 2.34
S (0.7291, 0.4581, 0.8874)  1 Cu 2.34
S (0.2709, 0.5419, 0.3874)  1 Cu 2.34
S (0.0000, 0.0000, 0.5000)  4 Tm 2.70
S (0.0000, 0.0000, 0.0000)  4 Tm 2.70
S (0.4414, 0.8827, 0.7500)  2 Cu 2.36
S (0.5586, 0.1173, 0.2500)  2 Cu 2.36

## Properties
The uncorrected formation energy comes out at -1.302 eV per atom. The calculation puts the calculated total energy at -5.460 eV/atom. The mass density comes out at 7.1 Mg/m³. As for the space group: Cmcm.

***

[2]
DFT (PBE) results for a geometry-optimized Rh2SBr structure.

Cell: 5.5587 5.5587 6.7470 Å, 65.67 65.67 90.00°
With the nearest neighbours (Å) after each atom.
Atoms (fractional coordinates):
S (0.5000, 0.5000, 0.0000)  4 Rh 2.20
S (0.2500, 0.7500, 0.5000)  4 Rh 2.20
Rh (0.5591, 0.1250, 0.2500)  2 S 2.20
Rh (0.1909, 0.6250, 0.2500)  2 S 2.20
Rh (0.3750, 0.4409, 0.7500)  2 S 2.20
Rh (0.8750, 0.8091, 0.7500)  2 S 2.20
Br (0.0000, 0.0000, 0.0000)  4 Rh 2.63
Br (0.7500, 0.2500, 0.5000)  4 Rh 2.63

## Properties
The uncorrected formation energy comes out at 0.035 eV per atom. As for the excess energy over the best structure of this formula in the dataset: 0 meV/atom. The calculation puts the calculated total energy at -5.091 eV/atom. The mass density comes out at 6.2 Mg/m³. As for the space group: I-42d.

***

[3]
DFT (PBE) results for a geometry-optimized Li4CdAg2 structure.

Cell: 4.9878 4.9878 6.5214 Å, 112.48 112.48 90.00°
With the nearest neighbours (Å) after each atom.
Atoms (fractional coordinates):
Li (0.7500, 0.2500, 0.5000)  2 Li 2.74, 4 Ag 2.83
Li (0.2500, 0.7500, 0.5000)  2 Li 2.74, 4 Ag 2.83
Li (0.5000, 0.0000, 0.0000)  2 Cd 2.49, 2 Li 2.74
Li (0.0000, 0.5000, 0.0000)  2 Cd 2.49, 2 Li 2.74
Cd (0.0000, 0.0000, 0.0000)  4 Li 2.49
Ag (0.6275, 0.6275, 0.2550)  1 Ag 2.80, 8 Li 2.83-2.86
Ag (0.3725, 0.3725, 0.7450)  1 Ag 2.80, 8 Li 2.83-2.86

## Properties
The calculation puts the formation energy at 2.0 kJ/mol of atoms. As for the excess energy over the best structure of this formula in the dataset: 143 meV/atom. The calculation puts the calculated total energy at -2.018 eV/atom. The mass density comes out at 4.3 Mg/m³. As for the space group: I4/mmm.

***

[4]
DFT (PBE) results for a geometry-optimized Ba2AgPt structure.

Cell: 6.6194 6.6194 6.6194 Å, 138.80 138.80 59.68°
With the nearest neighbours (Å) after each atom.
Atoms (fractional coordinates):
Ag (0.7500, 0.2500, 0.5000)  4 Ba 3.29
Ba (0.0000, 0.0000, 0.0000)  4 Pt 3.29
Ba (0.2500, 0.7500, 0.5000)  4 Ag 3.29
Pt (0.5000, 0.5000, 0.0000)  4 Ba 3.29

## Properties
The calculation puts the formation energy at -26.7 kJ/mol of atoms. The calculation puts the calculated total energy at -3.461 eV/atom. The mass density comes out at 7.7 Mg/m³. As for the space group: I-4m2.

***

[5]
DFT (PBE) results for a geometry-optimized CdTeCl2 structure.

Cell: 3.2983 3.2983 11.4251 Å, 90.00 90.00 103.18°
With the nearest neighbours (Å) after each atom.
Atoms (fractional coordinates):
Cl (0.0000, 0.0000, 0.8945)  2 Cd 2.63
Cl (0.0000, 0.0000, 0.6055)  2 Cd 2.63
Te (0.5000, 0.5000, 0.2500)  4 Te 3.30
Cd (0.5000, 0.5000, 0.7500)  4 Cl 2.63

## Properties
The uncorrected formation energy comes out at -0.458 eV per atom. As for the excess energy over the best structure of this formula in the dataset: 82 meV/atom. The calculation puts the calculated total energy at -2.396 eV/atom. The mass density comes out at 4.3 Mg/m³. As for the space group: Cmmm.

***

[6]
DFT (PBE) results for a geometry-optimized TaBeIn structure.

Cell: 4.1702 4.1702 4.1702 Å, 60.00 60.00 60.00°
With the nearest neighbours (Å) after each atom.
Atoms (fractional coordinates):
Be (0.7500, 0.7500, 0.7500)  4 Ta 2.55, 4 In 2.55
In (0.0000, 0.0000, 0.0000)  4 Be 2.55
Ta (0.5000, 0.5000, 0.5000)  4 Be 2.55

## Properties
The calculation puts the formation energy at 49.0 kJ/mol of atoms. As for the excess energy over the best structure of this formula in the dataset: 229 meV/atom. The calculation puts the calculated total energy at -5.598 eV/atom. The mass density comes out at 9.9 Mg/m³. As for the space group: F-43m.

***

[7]
DFT (PBE) results for a geometry-optimized BaHgW structure.

Cell: 7.9425 7.9422 3.1046 Å, 78.73 78.72 22.54°
With the nearest neighbours (Å) after each atom.
Atoms (fractional coordinates):
Hg (0.3148, 0.3148, 0.6852)  4 W 2.98, 4 Hg 3.10
W (0.6824, 0.6824, 0.3176)  4 Hg 2.98, 4 W 3.10
Ba (0.0028, 0.0028, 0.9972)  4 Ba 3.10

## Properties
The calculation puts the formation energy at 94.5 kJ/mol of atoms. As for the excess energy over the best structure of this formula in the dataset: 0 meV/atom. The calculation puts the calculated total energy at -4.080 eV/atom. The mass density comes out at 11.8 Mg/m³. As for the space group: I4mm.

***

[8]
DFT (PBE) results for a geometry-optimized MgZnSe2 structure.

Cell: 3.6733 8.2877 3.6102 Å, 90.00 90.00 90.00°
With the nearest neighbours (Å) after each atom.
Atoms (fractional coordinates):
Mg (0.0000, 0.5000, 0.5000)  4 Se 2.58
Se (0.0000, 0.0000, 0.0000)  4 Zn 2.58
Se (0.5000, 0.5000, 0.0000)  4 Mg 2.58
Zn (0.5000, 0.0000, 0.5000)  4 Se 2.58

## Properties
The uncorrected formation energy comes out at -0.529 eV per atom. The calculation puts the calculated total energy at -2.988 eV/atom. The mass density comes out at 3.7 Mg/m³. As for the space group: Pmmm.

***

Among the records above, which one has the highest calculated total energy?
Li4CdAg2

***

calculated total energy of number 3 (Li4CdAg2)?
-2.018 eV/atom

***

Among the records above, which one has the highest mass density?
BaHgW